(1)
Here is a geometry-optimized Al4VRh structure from the Alexandria database. Energies are from PBE.

Summary:
symmetry	No. 123
energy of formation from the pure elements	-0.144	eV per atom
E	-64.61	eV for the cell shown
magnetic moment	0.00	μB per cell

Structure (CIF):
```
data_Al4VRh
_space_group_name_H-M_alt 'P 1'
_space_group_IT_number 1
_cell_length_a 5.690
_cell_length_b 5.690
_cell_length_c 6.479
_cell_angle_alpha 90.00
_cell_angle_beta 90.00
_cell_angle_gamma 90.00
loop_
_space_group_symop_operation_xyz
'x,y,z'
loop_
_atom_site_label
_atom_site_type_symbol
_atom_site_fract_x
_atom_site_fract_y
_atom_site_fract_z
Al1 Al 0.750 0.750 0.238
Al2 Al 0.250 0.250 0.762
Al3 Al 0.750 0.250 0.762
V1 V 0.000 0.500 0.500
Al4 Al 0.250 0.250 0.238
Al5 Al 0.250 0.750 0.762
Rh1 Rh 0.000 0.000 0.000
V2 V 0.500 0.000 0.500
Rh2 Rh 0.500 0.500 0.000
Al6 Al 0.750 0.750 0.762
Al7 Al 0.750 0.250 0.238
Al8 Al 0.250 0.750 0.238
```

---

(2)
Here is a geometry-optimized Al2CoTe structure from the Alexandria database. Energies are from PBE.

Summary:
symmetry	No. 6
E	-18.33	eV for the cell shown
uncorrected formation energy	-0.1501	eV/atom
magnetic moment	0.00	μB per cell

Structure (CIF):
```
data_Al2CoTe
_space_group_name_H-M_alt 'P 1'
_space_group_IT_number 1
_cell_length_a 3.984
_cell_length_b 4.165
_cell_length_c 5.345
_cell_angle_alpha 67.24
_cell_angle_beta 90.00
_cell_angle_gamma 90.00
loop_
_space_group_symop_operation_xyz
'x,y,z'
loop_
_atom_site_label
_atom_site_type_symbol
_atom_site_fract_x
_atom_site_fract_y
_atom_site_fract_z
Te1 Te 0.500 0.319 0.730
Al1 Al 0.000 0.074 0.230
Co1 Co 0.000 0.485 0.408
Al2 Al 0.500 0.622 0.132
```

---

(3)
Here is a geometry-optimized Pm4SmIn3 structure from the Alexandria database. Energies are from PBE.

Summary:
symmetry	No. 166
energy of formation from the pure elements	-0.327	eV per atom
E	-34.55	eV for the cell shown
magnetic moment	1.75	μB per cell

Structure (CIF):
```
data_Pm4SmIn3
_space_group_name_H-M_alt 'P 1'
_space_group_IT_number 1
_cell_length_a 5.491
_cell_length_b 5.491
_cell_length_c 9.726
_cell_angle_alpha 73.60
_cell_angle_beta 73.60
_cell_angle_gamma 60.00
loop_
_space_group_symop_operation_xyz
'x,y,z'
loop_
_atom_site_label
_atom_site_type_symbol
_atom_site_fract_x
_atom_site_fract_y
_atom_site_fract_z
Pm1 Pm 0.615 0.615 0.154
Pm2 Pm 0.131 0.131 0.607
In1 In 0.500 0.500 0.500
Pm3 Pm 0.869 0.869 0.393
Sm1 Sm 0.000 0.000 0.000
In2 In 0.260 0.260 0.220
In3 In 0.740 0.740 0.780
Pm4 Pm 0.385 0.385 0.846
```

---

(4)
Here is a geometry-optimized Pu2TlFe structure from the Alexandria database. Energies are from PBE.

Summary:
symmetry	No. 123
energy of formation from the pure elements	-0.003	eV per atom
E	-39.51	eV for the cell shown
energy above the most stable polymorph in this dataset	0	meV/atom
magnetic moment	9.29	μB per cell

Structure (CIF):
```
data_Pu2TlFe
_space_group_name_H-M_alt 'P 1'
_space_group_IT_number 1
_cell_length_a 3.248
_cell_length_b 3.248
_cell_length_c 8.498
_cell_angle_alpha 90.00
_cell_angle_beta 90.00
_cell_angle_gamma 90.00
loop_
_space_group_symop_operation_xyz
'x,y,z'
loop_
_atom_site_label
_atom_site_type_symbol
_atom_site_fract_x
_atom_site_fract_y
_atom_site_fract_z
Tl1 Tl 0.500 0.500 0.500
Pu1 Pu 0.000 0.000 0.797
Fe1 Fe 0.500 0.500 0.000
Pu2 Pu 0.000 0.000 0.203
```

---

(5)
Here is a geometry-optimized Li2CoSbN structure from the Alexandria database. Energies are from PBE.

Summary:
symmetry	No. 123
E	-24.58	eV for the cell shown
uncorrected formation energy	-0.2395	eV/atom
magnetic moment	0.01	μB per cell

Structure (CIF):
```
data_Li2CoSbN
_space_group_name_H-M_alt 'P 1'
_space_group_IT_number 1
_cell_length_a 4.197
_cell_length_b 4.197
_cell_length_c 3.621
_cell_angle_alpha 90.00
_cell_angle_beta 90.00
_cell_angle_gamma 90.00
loop_
_space_group_symop_operation_xyz
'x,y,z'
loop_
_atom_site_label
_atom_site_type_symbol
_atom_site_fract_x
_atom_site_fract_y
_atom_site_fract_z
Co1 Co 0.000 0.000 0.500
N1 N 0.000 0.000 0.000
Sb1 Sb 0.500 0.500 0.500
Li1 Li 0.000 0.500 0.000
Li2 Li 0.500 0.000 0.000
```

---

(6)
Here is a geometry-optimized Al2ZnCd structure from the Alexandria database. Energies are from PBE.

Summary:
symmetry	No. 35
energy of formation from the pure elements	0.122	eV per atom
E	-9.19	eV for the cell shown
energy above the most stable polymorph in this dataset	66	meV/atom
magnetic moment	0.00	μB per cell

Structure (CIF):
```
data_Al2ZnCd
_space_group_name_H-M_alt 'P 1'
_space_group_IT_number 1
_cell_length_a 2.905
_cell_length_b 2.905
_cell_length_c 10.421
_cell_angle_alpha 90.00
_cell_angle_beta 90.00
_cell_angle_gamma 122.44
loop_
_space_group_symop_operation_xyz
'x,y,z'
loop_
_atom_site_label
_atom_site_type_symbol
_atom_site_fract_x
_atom_site_fract_y
_atom_site_fract_z
Zn1 Zn 0.500 0.500 0.765
Cd1 Cd 0.000 0.000 0.507
Al1 Al 0.500 0.500 0.233
Al2 Al 0.000 0.000 0.995
```

---

(7)
Here is a geometry-optimized MgTl2Cd structure from the Alexandria database. Energies are from PBE.

Summary:
symmetry	No. 119
energy of formation from the pure elements	0.029	eV per atom
E	-7.13	eV for the cell shown
energy above the most stable polymorph in this dataset	35	meV/atom
magnetic moment	0.00	μB per cell

Structure (CIF):
```
data_MgTl2Cd
_space_group_name_H-M_alt 'P 1'
_space_group_IT_number 1
_cell_length_a 5.995
_cell_length_b 5.995
_cell_length_c 5.995
_cell_angle_alpha 135.33
_cell_angle_beta 135.33
_cell_angle_gamma 65.02
loop_
_space_group_symop_operation_xyz
'x,y,z'
loop_
_atom_site_label
_atom_site_type_symbol
_atom_site_fract_x
_atom_site_fract_y
_atom_site_fract_z
Tl1 Tl 0.000 0.000 0.000
Mg1 Mg 0.750 0.250 0.500
Tl2 Tl 0.250 0.750 0.500
Cd1 Cd 0.500 0.500 0.000
```

---

(8)
Here is a geometry-optimized MgP2Pb structure from the Alexandria database. Energies are from PBE.

Summary:
symmetry	No. 71
energy of formation from the pure elements	0.091	eV per atom
E	-15.76	eV for the cell shown
magnetic moment	0.00	μB per cell

Structure (CIF):
```
data_MgP2Pb
_space_group_name_H-M_alt 'P 1'
_space_group_IT_number 1
_cell_length_a 4.950
_cell_length_b 4.950
_cell_length_c 4.950
_cell_angle_alpha 122.03
_cell_angle_beta 108.15
_cell_angle_gamma 99.10
loop_
_space_group_symop_operation_xyz
'x,y,z'
loop_
_atom_site_label
_atom_site_type_symbol
_atom_site_fract_x
_atom_site_fract_y
_atom_site_fract_z
P1 P 0.931 0.931 0.000
P2 P 0.569 0.569 0.000
Mg1 Mg 0.750 0.250 0.500
Pb1 Pb 0.250 0.750 0.500
```

---

(9)
Here is a geometry-optimized Sc2Ga2Ni15 structure from the Alexandria database. Energies are from PBE.

Summary:
symmetry	No. 166
energy of formation from the pure elements	-0.232	eV per atom
E	-109.85	eV for the cell shown
magnetic moment	3.47	μB per cell

Structure (CIF):
```
data_Sc2Ga2Ni15
_space_group_name_H-M_alt 'P 1'
_space_group_IT_number 1
_cell_length_a 6.241
_cell_length_b 6.241
_cell_length_c 6.241
_cell_angle_alpha 82.20
_cell_angle_beta 82.20
_cell_angle_gamma 82.20
loop_
_space_group_symop_operation_xyz
'x,y,z'
loop_
_atom_site_label
_atom_site_type_symbol
_atom_site_fract_x
_atom_site_fract_y
_atom_site_fract_z
Ni1 Ni 0.000 0.695 0.305
Ni2 Ni 0.695 0.305 0.000
Ga1 Ga 0.105 0.105 0.105
Ni3 Ni 0.843 0.347 0.347
Ni4 Ni 0.347 0.347 0.843
Ga2 Ga 0.895 0.895 0.895
Ni5 Ni 0.695 0.000 0.305
Ni6 Ni 0.157 0.653 0.653
Ni7 Ni 0.305 0.000 0.695
Ni8 Ni 0.305 0.695 0.000
Sc1 Sc 0.648 0.648 0.648
Ni9 Ni 0.653 0.157 0.653
Ni10 Ni 0.000 0.500 0.000
Ni11 Ni 0.347 0.843 0.347
Ni12 Ni 0.000 0.305 0.695
Sc2 Sc 0.352 0.352 0.352
Ni13 Ni 0.000 0.000 0.500
Ni14 Ni 0.653 0.653 0.157
Ni15 Ni 0.500 0.000 0.000
```

---

(10)
Here is a geometry-optimized TbAl10Ru2 structure from the Alexandria database. Energies are from PBE.

Summary:
symmetry	No. 63
energy of formation from the pure elements	-0.523	eV per atom
E	-134.81	eV for the cell shown
magnetic moment	0.00	μB per cell

Structure (CIF):
```
data_TbAl10Ru2
_space_group_name_H-M_alt 'P 1'
_space_group_IT_number 1
_cell_length_a 6.849
_cell_length_b 6.849
_cell_length_c 9.154
_cell_angle_alpha 90.00
_cell_angle_beta 90.00
_cell_angle_gamma 96.73
loop_
_space_group_symop_operation_xyz
'x,y,z'
loop_
_atom_site_label
_atom_site_type_symbol
_atom_site_fract_x
_atom_site_fract_y
_atom_site_fract_z
Al1 Al 0.377 0.623 0.049
Tb1 Tb 0.873 0.127 0.750
Ru1 Ru 0.000 0.500 0.500
Al2 Al 0.480 0.219 0.250
Al3 Al 0.520 0.781 0.750
Tb2 Tb 0.127 0.873 0.250
Al4 Al 0.588 0.858 0.250
Al5 Al 0.225 0.225 0.000
Al6 Al 0.219 0.480 0.750
Al7 Al 0.843 0.157 0.400
Al8 Al 0.225 0.225 0.500
Al9 Al 0.843 0.157 0.100
Ru2 Ru 0.500 0.000 0.000
Al10 Al 0.858 0.588 0.750
Ru3 Ru 0.000 0.500 0.000
Al11 Al 0.775 0.775 0.000
Al12 Al 0.623 0.377 0.951
Al13 Al 0.775 0.775 0.500
Al14 Al 0.377 0.623 0.451
Al15 Al 0.781 0.520 0.250
Al16 Al 0.142 0.412 0.250
Ru4 Ru 0.500 0.000 0.500
Al17 Al 0.157 0.843 0.900
Al18 Al 0.157 0.843 0.600
Al19 Al 0.412 0.142 0.750
Al20 Al 0.623 0.377 0.549
```

---

(11)
Here is a geometry-optimized Sm2BiTe5 structure from the Alexandria database. Energies are from PBE.

Summary:
symmetry	No. 63
E	-71.09	eV for the cell shown
uncorrected formation energy	-0.8148	eV/atom
magnetic moment	0.00	μB per cell

Structure (CIF):
```
data_Sm2BiTe5
_space_group_name_H-M_alt 'P 1'
_space_group_IT_number 1
_cell_length_a 6.246
_cell_length_b 8.381
_cell_length_c 13.972
_cell_angle_alpha 90.00
_cell_angle_beta 90.00
_cell_angle_gamma 111.88
loop_
_space_group_symop_operation_xyz
'x,y,z'
loop_
_atom_site_label
_atom_site_type_symbol
_atom_site_fract_x
_atom_site_fract_y
_atom_site_fract_z
Te1 Te 0.678 0.356 0.923
Sm1 Sm 0.838 0.676 0.059
Te2 Te 0.678 0.356 0.577
Te3 Te 0.967 0.934 0.612
Sm2 Sm 0.162 0.324 0.559
Te4 Te 0.033 0.066 0.388
Te5 Te 0.033 0.066 0.112
Te6 Te 0.322 0.644 0.077
Bi1 Bi 0.193 0.386 0.250
Bi2 Bi 0.807 0.614 0.750
Te7 Te 0.967 0.934 0.888
Te8 Te 0.266 0.532 0.750
Sm3 Sm 0.838 0.676 0.441
Te9 Te 0.322 0.644 0.423
Te10 Te 0.734 0.468 0.250
Sm4 Sm 0.162 0.324 0.941
```